DFT (PBE) results for crystalline Pm4SmSn at its relaxed geometry.

Values from the calculation:
* formation energy: 0.06 eV/atom

Cell: 5.3634 6.7531 12.3026 Å, 90.00 102.59 90.00°
Positions (direct):
Pm: 0.8545 0.3225 0.7090
Pm: 0.1455 0.8225 0.2910
Pm: 0.4168 0.8220 0.8336
Pm: 0.5832 0.3220 0.1664
Pm: 0.7034 0.5694 0.4067
Pm: 0.2966 0.0694 0.5933
Pm: 0.7033 0.0752 0.4066
Pm: 0.2967 0.5752 0.5934
Sm: 0.5598 0.8218 0.1196
Sm: 0.4402 0.3218 0.8804
Sn: 0.8316 0.8226 0.6632
Sn: 0.1684 0.3226 0.3368